Below is an optimized crystal structure of SmCu2Ni9, with properties calculated at the PBE level.

Structure (POSCAR):
```
SmCu2Ni9
1.0
-2.665 -3.709 1.216
6.498 -3.723 2.888
-1.308 3.300 7.199
Sm Cu Ni
2 4 18
Cartesian
2.595 -0.211 5.043
0.000 0.000 0.000
3.842 -1.910 2.596
1.348 1.487 7.490
0.238 0.848 3.107
4.952 -1.271 6.980
1.916 -3.716 2.052
-1.987 -0.205 4.207
2.552 -2.639 6.731
-0.028 -1.493 4.572
-1.181 0.443 7.949
3.705 -4.575 3.353
0.562 -1.126 6.986
1.962 -3.007 4.316
-1.187 -1.399 2.319
3.711 -2.733 8.983
2.892 -4.816 5.610
-1.753 -1.244 6.324
-0.170 -3.426 3.137
1.309 -2.634 8.797
-0.368 0.683 5.692
4.277 -2.888 4.978
2.694 -0.706 8.165
1.215 -1.499 2.506
```

Results
spin magnetization: 3.964 μB per formula unit
total energy: -132.75 eV for the cell shown
V: 12.7 Å³/atom
formation enthalpy at 0 K: -119 meV per atom
crystal system: tetragonal